# BaSrNiWO6 (PBE+U, relaxed)
data_BaSrNiWO6
_chemical_formula_sum 'Ba4 Sr4 Ni4 W4 O24'
_cell_length_a 8.107
_cell_length_b 8.107
_cell_length_c 8.107
_cell_angle_alpha 90.00
_cell_angle_beta 90.00
_cell_angle_gamma 90.00
_symmetry_space_group_name_H-M 'F -4 3 m'
_symmetry_Int_Tables_number 216
_symmetry_space_group_name_Hall 'F -4 2 3'
loop_
_atom_site_label
_atom_site_type_symbol
_atom_site_fract_x
_atom_site_fract_y
_atom_site_fract_z
Ba1 Ba 0.000 0.000 0.000
Sr1 Sr 0.000 0.000 0.500
Ni1 Ni 0.250 0.250 0.750
W1 W 0.250 0.250 0.250
O1 O 0.009 0.250 0.250
# Final energy: -6.64 eV per atom
# Calculated volume: 13.32 Å³ per atom
# DOS(E_F): 0.0 states/eV/f.u.